DFT (PBE) results for a geometry-optimized Rb3BiI structure.

a = 7.062 Å, b = 7.062 Å, c = 7.062 Å
α = 90.00°, β = 90.00°, γ = 90.00°
Sites, in units of the cell vectors:
Rb 0.000 0.000 0.500
Rb 0.000 0.500 0.000
Rb 0.500 0.000 0.000
Bi 0.000 0.000 0.000
I 0.500 0.500 0.500

Values from the calculation:
- space group = Pm-3m
- crystal system = cubic
- E_form (uncorrected) (meV/atom) = -516.4
- ΔE to the lowest computed polymorph (meV/atom) = 250

=====

DFT (PBE) results for a geometry-optimized TiMnSN2 structure.

a = 3.814 Å, b = 3.814 Å, c = 5.199 Å
α = 90.00°, β = 90.00°, γ = 90.00°
Sites, in units of the cell vectors:
Ti 0.000 0.000 0.000
Mn 0.500 0.500 0.500
S 0.000 0.000 0.500
N 0.000 0.500 0.000
N 0.500 0.000 0.000

Values from the calculation:
- space group = P4/mmm
- crystal system = tetragonal
- E_form (uncorrected) (meV/atom) = 163.2
- ΔE to the lowest computed polymorph (meV/atom) = 0

=====

DFT (PBE) results for a geometry-optimized AlAs2Os structure.

a = 2.896 Å, b = 2.896 Å, c = 9.640 Å
α = 90.00°, β = 90.00°, γ = 120.10°
Sites, in units of the cell vectors:
Al 0.000 0.000 0.000
As 0.500 0.500 0.281
As 0.500 0.500 0.719
Os 0.000 0.000 0.500

Values from the calculation:
- E_form (eV per atom) = 0.386
- space group = Cmmm
- crystal system = orthorhombic